First-principles (PBE-GGA) data for an optimized crystal structure of K2HfTi, as listed in the Alexandria database.

## Properties
As for the energy relative to the elements: 1728 meV/atom. The total energy is -0.241 Ry per atom. The calculation puts the total magnetization at 0.3 μB per formula unit.

Lattice parameters (Å, degrees): 5.7387 5.7387 5.7387 60.00 60.00 60.00
Each line ends with the local moment (μB).
Fractional positions:
K 0.2500 0.2500 0.2500  -0.01
Ti 0.0000 0.0000 0.0000  1.40
Hf 0.5000 0.5000 0.5000  -0.79
K 0.7500 0.7500 0.7500  -0.01